(1)
The following is a DFT calculation (PBE) of a relaxed structure of CaAlOs2.

- Final energy: -113.31 eV for the cell shown
- Space group: No. 8
- Crystal system: monoclinic
- Density of states at the Fermi level: 3.6 states/eV/f.u.
- Calculated density: 9.83 g/cm³

Structure (extended XYZ):
```
16
Lattice="7.7388 0.0000 -0.0038 0.0000 4.4257 0.0000 -5.7524 0.0000 8.8284" Properties=species:S:1:pos:R:3 pbc="T T T"
Os 2.9147 0.0000 5.6838
Ca 2.0800 2.2129 7.9119
Os 5.4549 0.0000 0.0384
Os 5.7909 2.2129 1.2696
Al 0.5517 0.0000 6.5016
Os -3.1622 2.2129 6.1083
Ca 4.9562 0.0000 3.4977
Al 3.4279 2.2129 2.0873
Os 0.8714 2.2129 2.0745
Os -2.0048 0.0000 6.4887
Ca -0.5591 2.2129 4.5485
Al -1.2735 2.2129 7.8393
Os -0.2860 0.0000 1.6941
Al 1.6027 0.0000 3.4250
Ca 2.3171 0.0000 0.1343
Os 2.5787 2.2129 4.4526
```


(2)
The following is a DFT calculation (PBE) of a relaxed structure of CaAlOs2.

- Final energy: -26.33 eV for the cell shown
- Space group: No. 65
- Crystal system: orthorhombic
- Density of states at the Fermi level: 4.7 states/eV/f.u.
- Calculated density: 11.17 g/cm³

Structure (extended XYZ):
```
4
Lattice="5.1407 -0.0006 0.0000 -1.6758 4.8598 0.0000 0.0000 0.0000 2.6638" Properties=species:S:1:pos:R:3 pbc="T T T"
Ca -0.8379 2.4299 1.3319
Os 1.7324 2.4296 0.0000
Os 0.0000 0.0000 0.0000
Al 2.5703 -0.0003 1.3319
```


(3)
The following is a DFT calculation (PBE) of a relaxed structure of CaAlOs4.

- Final energy: -48.91 eV for the cell shown
- Space group: No. 216
- Crystal system: cubic
- Density of states at the Fermi level: 7.4 states/eV/f.u.
- Calculated density: 13.51 g/cm³

Structure (extended XYZ):
```
6
Lattice="-1.4754 -3.2169 3.8655 -4.2115 1.1478 2.9006 -4.3723 -2.8485 -0.4864" Properties=species:S:1:pos:R:3 pbc="T T T"
Os -5.8749 -1.2745 3.8028
Os -3.7767 -1.8463 2.3577
Al -7.5444 -3.6882 4.7098
Os -5.9551 -3.2655 2.1154
Ca 0.0000 0.0000 0.0000
Os -4.5118 -3.4490 4.2836
```


(4)
The following is a DFT calculation (PBE) of a relaxed structure of CaAl3Os.

- Space group: No. 221
- Crystal system: cubic
- Excess energy over the best structure of this formula in the dataset: 2545 meV per atom
- Density of states at the Fermi level: 8.9 states/eV/f.u.
- Calculated density: 4.20 g/cm³

Structure (extended XYZ):
```
5
Lattice="-2.5300 3.4080 2.5919 -4.2532 -2.3470 -1.0655 0.4930 -2.7587 4.1085" Properties=species:S:1:pos:R:3 pbc="T T T"
Ca 0.0000 0.0000 0.0000
Al -2.1266 -1.1735 -0.5328
Al -1.2650 1.7040 1.2960
Os -3.1451 -0.8488 2.8175
Al 0.2465 -1.3793 2.0543
```


(5)
The following is a DFT calculation (PBE) of a relaxed structure of CaAlOs.

- Final energy: -16.03 eV for the cell shown
- Space group: No. 156
- Crystal system: trigonal
- Density of states at the Fermi level: 2.4 states/eV/f.u.
- Calculated density: 7.35 g/cm³

Structure (extended XYZ):
```
3
Lattice="3.1438 0.0000 0.0000 -1.5719 2.7226 0.0000 0.0000 0.0000 6.7952" Properties=species:S:1:pos:R:3 pbc="T T T"
Ca 1.5719 0.9075 2.4135
Al 0.0000 0.0000 6.4725
Os 0.0000 1.8151 4.7045
```


(6)
The following is a DFT calculation (PBE) of a relaxed structure of CaAlOs2.

- Final energy: -27.16 eV for the cell shown
- Space group: No. 123
- Crystal system: tetragonal
- Density of states at the Fermi level: 4.3 states/eV/f.u.
- Calculated density: 10.82 g/cm³

Structure (extended XYZ):
```
4
Lattice="-2.9530 -0.8320 0.6916 0.8321 -0.4616 2.9975 -1.5269 6.6192 1.4433" Properties=species:S:1:pos:R:3 pbc="T T T"
Os -0.0884 0.3832 0.0835
Os -0.6751 2.9264 0.6381
Al -1.4422 1.0080 2.2054
Ca -2.2056 4.3176 2.9270
```